(1)
This record from Alexandria describes a relaxed structure of Ba2CrSi. The functional is PBE-GGA.

Results
ΔE_f (raw) in meV per atom: 272.6
E above lowest polymorph in kJ/mol of atoms: 17.3
ρ in kg/m3: 4609

Cell lengths 3.643, 3.643, 9.634 Å; angles 90.00, 90.00, 90.00 degrees
Fractional positions:
Ba (0.000, 0.000, 0.913)
Ba (0.500, 0.500, 0.327)
Cr (0.000, 0.000, 0.594)
Si (0.500, 0.500, 0.666)

***

(2)
This record from Alexandria describes a relaxed structure of Ho2Zn3Au2. The functional is PBE-GGA.

Results
Energy relative to the elements in eV/f.u.: -4.04
E above lowest polymorph in kJ/mol of atoms: 0.0
ρ in kg/m3: 11016

Cell lengths 4.513, 5.424, 6.636 Å; angles 108.26, 90.00, 114.59 degrees
Fractional positions:
Ho (0.853, 0.707, 0.232)
Ho (0.147, 0.293, 0.768)
Zn (0.500, 0.000, 0.000)
Zn (0.601, 0.201, 0.423)
Zn (0.399, 0.799, 0.577)
Au (0.846, 0.691, 0.775)
Au (0.154, 0.309, 0.225)

***

(3)
This record from Alexandria describes a relaxed structure of TaTc2Os. The functional is PBE-GGA.

Results
Energy relative to the elements in eV/f.u.: 0.28
E above lowest polymorph in kJ/mol of atoms: 11.0
ρ in kg/m3: 15220

Cell lengths 3.119, 3.119, 6.361 Å; angles 90.00, 90.00, 90.00 degrees
Fractional positions:
Os (0.500, 0.500, 0.250)
Ta (0.500, 0.500, 0.750)
Tc (0.000, 0.000, 0.994)
Tc (0.000, 0.000, 0.506)

***

(4)
This record from Alexandria describes a relaxed structure of Tb6SmTm5. The functional is PBE-GGA.

Results
Energy relative to the elements in eV/f.u.: 0.24
ρ in kg/m3: 8653

Cell lengths 6.117, 6.125, 12.215 Å; angles 99.57, 109.46, 60.04 degrees
Fractional positions:
Tm (0.333, 0.334, 0.500)
Tm (0.667, 0.667, 0.000)
Tm (0.000, 0.000, 0.500)
Tm (0.333, 0.333, 0.000)
Tm (0.667, 0.666, 0.500)
Tb (0.167, 0.666, 0.252)
Tb (0.167, 0.666, 0.748)
Tb (0.499, 0.000, 0.749)
Tb (0.501, 0.000, 0.251)
Tb (0.833, 0.334, 0.252)
Tb (0.833, 0.334, 0.748)
Sm (0.000, 0.000, 0.000)

***

(5)
This record from Alexandria describes a relaxed structure of La4Pr2DySc. The functional is PBE-GGA.

Results
Energy relative to the elements in eV/f.u.: 0.21
ρ in kg/m3: 6329

Cell lengths 5.199, 5.166, 11.441 Å; angles 63.14, 90.00, 90.00 degrees
Fractional positions:
La (0.000, 0.755, 0.746)
La (0.000, 0.245, 0.254)
La (0.500, 0.746, 0.254)
La (0.500, 0.254, 0.746)
Pr (0.000, 0.000, 0.000)
Pr (0.500, 0.000, 0.500)
Dy (0.500, 0.500, 0.000)
Sc (0.000, 0.500, 0.500)

***

(6)
This record from Alexandria describes a relaxed structure of Cs4Nd3SbS8. The functional is PBE-GGA.

Results
ΔE_f (raw) in meV per atom: -1518.2
ρ in kg/m3: 4455

Cell lengths 8.462, 9.435, 8.462 Å; angles 116.66, 120.00, 90.00 degrees
Fractional positions:
Cs (0.500, 0.000, 0.000)
Cs (0.500, 0.000, 0.500)
Cs (0.000, 0.000, 0.000)
Cs (0.000, 0.000, 0.500)
Nd (0.500, 0.500, 0.000)
Nd (0.500, 0.500, 0.500)
Nd (0.000, 0.500, 0.500)
Sb (0.000, 0.500, 0.000)
S (0.226, 0.685, 0.959)
S (0.226, 0.685, 0.452)
S (0.271, 0.313, 0.542)
S (0.733, 0.685, 0.959)
S (0.267, 0.315, 0.041)
S (0.729, 0.687, 0.458)
S (0.774, 0.315, 0.548)
S (0.774, 0.315, 0.041)

***

(7)
This record from Alexandria describes a relaxed structure of HgPd3Pb. The functional is PBE-GGA.

Results
Energy relative to the elements in eV/f.u.: -0.58
E above lowest polymorph in kJ/mol of atoms: 0.0
ρ in kg/m3: 11647

Cell lengths 4.314, 8.489, 5.661 Å; angles 90.00, 90.00, 90.00 degrees
Fractional positions:
Hg (0.500, 0.126, 0.202)
Hg (0.500, 0.874, 0.702)
Pd (0.500, 0.524, 0.637)
Pd (0.500, 0.192, 0.679)
Pd (0.000, 0.331, 0.397)
Pd (0.500, 0.476, 0.137)
Pd (0.000, 0.669, 0.897)
Pd (0.500, 0.808, 0.179)
Pb (0.000, 0.666, 0.391)
Pb (0.000, 0.334, 0.891)

***

(8)
This record from Alexandria describes a relaxed structure of BeSiO2. The functional is PBE-GGA.

Results
ΔE_f (raw) in meV per atom: -1403.7
E above lowest polymorph in kJ/mol of atoms: 41.1
ρ in kg/m3: 2801

Cell lengths 7.021, 7.021, 7.021 Å; angles 21.56, 21.56, 21.56 degrees
Fractional positions:
Be (0.000, 0.000, 0.000)
Si (0.500, 0.500, 0.500)
O (0.878, 0.878, 0.878)
O (0.122, 0.122, 0.122)

***

(9)
This record from Alexandria describes a relaxed structure of Ca2Al4ZnPt3. The functional is PBE-GGA.

Results
Energy relative to the elements in eV/f.u.: -8.62
ρ in kg/m3: 7280

Cell lengths 4.241, 4.241, 10.636 Å; angles 90.00, 90.00, 90.00 degrees
Fractional positions:
Ca (0.500, 0.000, 0.250)
Ca (0.000, 0.500, 0.750)
Al (0.500, 0.500, 0.000)
Al (0.000, 0.000, 0.000)
Al (0.500, 0.000, 0.633)
Al (0.000, 0.500, 0.367)
Zn (0.500, 0.500, 0.500)
Pt (0.000, 0.000, 0.500)
Pt (0.500, 0.000, 0.868)
Pt (0.000, 0.500, 0.132)

***

(10)
This record from Alexandria describes a relaxed structure of CrTc2Ru. The functional is PBE-GGA.

Results
Energy relative to the elements in eV/f.u.: 1.09
E above lowest polymorph in kJ/mol of atoms: 16.0
ρ in kg/m3: 10400

Cell lengths 2.656, 2.656, 8.533 Å; angles 90.00, 90.00, 112.19 degrees
Fractional positions:
Cr (0.500, 0.500, 0.250)
Ru (0.500, 0.500, 0.750)
Tc (0.000, 0.000, 0.012)
Tc (0.000, 0.000, 0.488)

***

(11)
This record from Alexandria describes a relaxed structure of Mg5CdGaHg2. The functional is PBE-GGA.

Results
Energy relative to the elements in eV/f.u.: -0.30
ρ in kg/m3: 5625

Cell lengths 7.672, 7.672, 8.912 Å; angles 115.49, 115.49, 90.00 degrees
Fractional positions:
Mg (0.937, 0.437, 0.281)
Mg (0.656, 0.156, 0.719)
Mg (0.063, 0.563, 0.719)
Mg (0.156, 0.063, 0.719)
Mg (0.563, 0.656, 0.719)
Mg (0.844, 0.937, 0.281)
Mg (0.437, 0.344, 0.281)
Mg (0.344, 0.844, 0.281)
Mg (0.500, 0.500, 0.000)
Mg (0.000, 0.000, 0.000)
Cd (0.250, 0.250, 0.500)
Cd (0.750, 0.750, 0.500)
Ga (0.250, 0.750, 0.500)
Ga (0.750, 0.250, 0.500)
Hg (0.128, 0.372, 0.000)
Hg (0.628, 0.128, 0.000)
Hg (0.372, 0.872, 0.000)
Hg (0.872, 0.628, 0.000)

***

(12)
This record from Alexandria describes a relaxed structure of Tb8PSe3S3. The functional is PBE-GGA.

Results
ΔE_f (raw) in meV per atom: -1760.6
ρ in kg/m3: 7503

Cell lengths 7.956, 7.956, 8.044 Å; angles 119.64, 90.00, 120.00 degrees
Fractional positions:
Tb (0.258, 0.516, 0.274)
Tb (0.742, 0.484, 0.726)
Tb (0.758, 0.515, 0.269)
Tb (0.242, 0.485, 0.731)
Tb (0.758, 0.011, 0.269)
Tb (0.242, 0.989, 0.731)
Tb (0.254, 0.011, 0.269)
Tb (0.746, 0.989, 0.731)
P (0.000, 0.000, 0.500)
Se (0.000, 0.000, 0.000)
Se (0.000, 0.500, 0.000)
Se (0.500, 0.500, 0.000)
S (0.500, 0.000, 0.500)
S (0.500, 0.500, 0.500)
S (0.000, 0.500, 0.500)

***

(13)
This record from Alexandria describes a relaxed structure of Tb6Fe2Pd. The functional is PBE-GGA.

Results
Energy relative to the elements in eV/f.u.: -1.75
ρ in kg/m3: 8878

Cell lengths 8.290, 8.290, 8.290 Å; angles 107.85, 110.28, 110.29 degrees
Fractional positions:
Tb (0.523, 0.709, 0.813)
Tb (0.477, 0.291, 0.187)
Tb (0.104, 0.291, 0.813)
Tb (0.896, 0.709, 0.187)
Tb (0.798, 0.781, 0.579)
Tb (0.202, 0.219, 0.421)
Tb (0.202, 0.781, 0.983)
Tb (0.798, 0.219, 0.017)
Tb (0.704, 0.389, 0.685)
Tb (0.296, 0.611, 0.315)
Tb (0.296, 0.981, 0.685)
Tb (0.704, 0.019, 0.315)
Fe (0.500, 0.389, 0.889)
Fe (0.500, 0.611, 0.111)
Fe (0.615, 0.000, 0.615)
Fe (0.385, 0.000, 0.385)
Pd (0.000, 0.500, 0.500)
Pd (0.000, 0.000, 0.000)

***

(14)
This record from Alexandria describes a relaxed structure of Sn3Hg. The functional is PBE-GGA.

Results
Energy relative to the elements in eV/f.u.: 0.34
ρ in kg/m3: 8503

Cell lengths 5.717, 5.422, 7.016 Å; angles 90.00, 90.00, 90.00 degrees
Fractional positions:
Sn (0.500, 0.251, 0.000)
Sn (0.000, 0.248, 0.760)
Sn (0.500, 0.752, 0.740)
Sn (0.000, 0.749, 0.500)
Sn (0.000, 0.248, 0.240)
Sn (0.500, 0.752, 0.260)
Hg (0.000, 0.748, 0.000)
Hg (0.500, 0.252, 0.500)

***

(15)
This record from Alexandria describes a relaxed structure of Zr2TeOs. The functional is PBE-GGA.

Results
ΔE_f (raw) in meV per atom: 302.8
ρ in kg/m3: 6751

Cell lengths 6.384, 6.384, 7.539 Å; angles 64.95, 64.95, 90.00 degrees
Fractional positions:
Te (0.500, 0.500, 0.000)
Te (0.250, 0.750, 0.500)
Os (0.000, 0.000, 0.000)
Os (0.750, 0.250, 0.500)
Zr (0.676, 0.125, 0.250)
Zr (0.074, 0.625, 0.250)
Zr (0.375, 0.324, 0.750)
Zr (0.875, 0.926, 0.750)

***

(16)
This record from Alexandria describes a relaxed structure of LiGa2AgS4. The functional is PBE-GGA.

Results
ΔE_f (raw) in meV per atom: -746.8
ρ in kg/m3: 3759

Cell lengths 5.321, 5.321, 7.056 Å; angles 112.15, 112.15, 90.00 degrees
Fractional positions:
Li (0.500, 0.500, 0.000)
Ga (0.750, 0.250, 0.500)
Ga (0.250, 0.750, 0.500)
Ag (0.000, 0.000, 0.000)
S (0.604, 0.604, 0.727)
S (0.396, 0.876, 0.273)
S (0.876, 0.396, 0.273)
S (0.124, 0.124, 0.727)

***

(17)
This record from Alexandria describes a relaxed structure of LiPtAu. The functional is PBE-GGA.

Results
Energy relative to the elements in eV/f.u.: -1.00
ρ in kg/m3: 14051

Cell lengths 4.887, 4.887, 4.887 Å; angles 147.01, 131.52, 59.90 degrees
Fractional positions:
Au (0.998, 0.998, 0.000)
Li (0.329, 0.329, 0.000)
Pt (0.672, 0.672, 0.000)

***

(18)
This record from Alexandria describes a relaxed structure of AlCdRh. The functional is PBE-GGA.

Results
Energy relative to the elements in eV/f.u.: -1.13
E above lowest polymorph in kJ/mol of atoms: 7.3
ρ in kg/m3: 8059

Cell lengths 4.295, 4.295, 3.125 Å; angles 90.00, 90.00, 120.00 degrees
Fractional positions:
Rh (0.667, 0.333, 0.833)
Al (0.000, 0.000, 0.834)
Cd (0.333, 0.667, 0.333)

***

(19)
This record from Alexandria describes a relaxed structure of BaLaFe2. The functional is PBE-GGA.

Results
Energy relative to the elements in eV/f.u.: 2.78
ρ in kg/m3: 6311

Cell lengths 5.246, 5.246, 5.246 Å; angles 60.00, 60.00, 60.00 degrees
Fractional positions:
Fe (0.250, 0.250, 0.250)
Fe (0.750, 0.750, 0.750)
Ba (0.000, 0.000, 0.000)
La (0.500, 0.500, 0.500)

***

(20)
This record from Alexandria describes a relaxed structure of La3WBr. The functional is PBE-GGA.

Results
ΔE_f (raw) in meV per atom: 131.1
E above lowest polymorph in kJ/mol of atoms: 0.0
ρ in kg/m3: 6334

Cell lengths 5.629, 5.629, 5.629 Å; angles 90.00, 90.00, 90.00 degrees
Fractional positions:
Br (0.500, 0.500, 0.500)
W (0.000, 0.000, 0.000)
La (0.000, 0.500, 0.000)
La (0.000, 0.000, 0.500)
La (0.500, 0.000, 0.000)

***

no.,M_tot (μB/f.u.)
1,3.047
2,0.000
3,0.000
4,0.000
5,0.000
6,0.000
7,0.000
8,0.000
9,0.000
10,0.002
11,0.000
12,0.000
13,1.076
14,0.000
15,0.000
16,0.000
17,0.000
18,0.000
19,4.038
20,0.000